[1]
Computed, not measured: crystalline La6ThHg5 at its relaxed geometry at the PBE-GGA level of DFT.

a b c (Å): 5.553 7.821 8.870
angles (deg): 90.00 108.36 90.00
Fractional positions:
La1 0.172 0.250 0.344
La2 0.500 0.268 0.000
La3 0.172 0.751 0.344
Hg1 0.668 0.500 0.334
La4 0.500 0.732 0.000
Th1 0.000 0.000 0.000
Hg2 0.656 0.000 0.311
La5 0.828 0.750 0.656
Hg3 0.332 0.500 0.666
Hg4 0.000 0.500 0.000
La6 0.828 0.249 0.656
Hg5 0.344 0.000 0.689

[2]
Computed, not measured: crystalline Sr2ZnSe at its relaxed geometry at the PBE-GGA level of DFT.

Properties
Energy above the lowest structure with this stoichiometry, eV/atom: 0.180
ΔE_f (raw), meV/atom: -775

a b c (Å): 8.320 8.320 7.194
angles (deg): 54.67 54.67 90.00
Fractional positions:
Zn1 0.250 0.750 0.500
Se1 0.000 0.000 0.000
Sr1 0.104 0.625 0.250
Zn2 0.500 0.500 0.000
Sr2 0.375 0.354 0.750
Se2 0.750 0.250 0.500
Sr3 0.646 0.125 0.250
Sr4 0.875 0.896 0.750

[3]
Computed, not measured: crystalline FeOsAu2 at its relaxed geometry at the PBE-GGA level of DFT.

Properties
Energy above the lowest structure with this stoichiometry, eV/atom: 0.000

a b c (Å): 2.784 2.784 7.964
angles (deg): 90.00 90.00 90.00
Fractional positions:
Au1 0.500 0.500 0.275
Os1 0.500 0.500 0.713
Fe1 0.000 0.000 0.525
Au2 0.000 0.000 0.987

[4]
Computed, not measured: crystalline BaSrPuN3 at its relaxed geometry at the PBE-GGA level of DFT.

Properties
ΔE_f (raw), meV/atom: -818

a b c (Å): 6.110 6.198 7.112
angles (deg): 64.17 85.59 79.83
Fractional positions:
N1 0.496 0.841 0.912
Sr1 0.750 0.425 0.149
Ba1 0.250 0.241 0.518
Ba2 0.750 0.759 0.482
Pu1 0.750 0.064 0.873
N2 0.004 0.246 0.912
N3 0.996 0.754 0.088
N4 0.250 0.773 0.455
Pu2 0.250 0.936 0.127
Sr2 0.250 0.575 0.851
N5 0.504 0.159 0.088
N6 0.750 0.227 0.545

| no. | final energy (eV per atom) |
| --- | --- |
| 1 | -3.55 |
| 2 | -2.81 |
| 3 | -6.31 |
| 4 | -7.97 |